1.
Compound: BaTb2In
Source: Alexandria
Functional: PBE-GGA
Structure: optimized geometry Values from VASP.

## Properties
Its uncorrected energy is -13.598 eV per formula unit. The calculation puts the energy above the most stable polymorph in this dataset at 183 meV per atom. Its density of states at the Fermi level is 5.36 states/eV/cell.

Quantum ESPRESSO input file:
```
&SYSTEM
  ibrav = 0, nat = 4, ntyp = 3
/
ATOMIC_SPECIES
Ba 137.33 Ba.upf
Tb 158.93 Tb.upf
In 114.82 In.upf
ATOMIC_POSITIONS crystal
Ba 0.000 0.000 0.000
Tb 0.101 0.101 0.101
Tb 0.899 0.899 0.899
In 0.500 0.500 0.500
CELL_PARAMETERS angstrom
1.850 1.068 12.088
-1.850 1.068 12.088
0.000 -2.136 12.088
```

=====

2.
Compound: HfB2O5
Source: Alexandria
Functional: PBE-GGA
Structure: optimized geometry Values from VASP.

## Properties
Its uncorrected energy is -70.663 eV per formula unit. The calculation puts the formation energy without anion corrections at -22.56 eV per formula unit. Its density of states at the Fermi level is 0.00 states/eV/cell.

Quantum ESPRESSO input file:
```
&SYSTEM
  ibrav = 0, nat = 32, ntyp = 3
/
ATOMIC_SPECIES
Hf 178.49 Hf.upf
B 10.81 B.upf
O 16.00 O.upf
ATOMIC_POSITIONS crystal
Hf 0.000 0.112 0.170
Hf 0.000 0.388 0.670
Hf 0.000 0.612 0.330
Hf 0.000 0.888 0.830
B 0.466 0.087 0.667
B 0.466 0.413 0.167
B 0.472 0.729 0.576
B 0.472 0.771 0.076
B 0.528 0.229 0.924
B 0.528 0.271 0.424
B 0.534 0.587 0.833
B 0.534 0.913 0.333
O 0.212 0.590 0.820
O 0.212 0.910 0.320
O 0.229 0.598 0.532
O 0.229 0.902 0.032
O 0.306 0.155 0.809
O 0.306 0.345 0.309
O 0.330 0.604 0.151
O 0.330 0.896 0.651
O 0.349 0.223 0.556
O 0.349 0.277 0.056
O 0.651 0.723 0.944
O 0.651 0.777 0.444
O 0.670 0.104 0.349
O 0.670 0.396 0.849
O 0.694 0.655 0.691
O 0.694 0.845 0.191
O 0.771 0.098 0.968
O 0.771 0.402 0.468
O 0.788 0.090 0.680
O 0.788 0.410 0.180
CELL_PARAMETERS angstrom
4.415 0.000 0.000
0.000 6.947 0.000
-0.091 0.000 9.031
```

=====

3.
Compound: SiRu2Cl
Source: Alexandria
Functional: PBE-GGA
Structure: optimized geometry Values from VASP.

## Properties
Its uncorrected energy is -25.135 eV per formula unit. The calculation puts the energy above the most stable polymorph in this dataset at 233 meV per atom. The calculation puts the formation energy without anion corrections at 0.69 eV per formula unit. Its density of states at the Fermi level is 4.01 states/eV/cell.

Quantum ESPRESSO input file:
```
&SYSTEM
  ibrav = 0, nat = 4, ntyp = 3
/
ATOMIC_SPECIES
Si 28.09 Si.upf
Ru 101.07 Ru.upf
Cl 35.45 Cl.upf
ATOMIC_POSITIONS crystal
Si 0.000 0.000 0.000
Ru 0.365 0.500 0.179
Ru 0.635 0.500 0.821
Cl 0.500 0.000 0.500
CELL_PARAMETERS angstrom
2.945 0.000 0.000
0.000 3.593 0.000
-1.177 0.000 6.357
```